Dy2NbSi2Ru5 | Alexandria | PBE | optimized geometry; ΔE_f (raw) = -652 meV per atom; M_tot = 0.000 μB per atom; DFT total energy = -8.302 eV/atom
1.0
3.2382 0.0000 0.0000
0.0000 10.0690 0.0000
0.0000 0.0000 10.0690
Dy Nb Si Ru
4 2 4 10
direct
0.0000 0.6732 0.1732
0.0000 0.3268 0.8268
0.0000 0.1732 0.3268
0.0000 0.8268 0.6732
0.0000 0.0000 0.0000
0.0000 0.5000 0.5000
0.0000 0.1260 0.6260
0.0000 0.8740 0.3740
0.0000 0.6260 0.8740
0.0000 0.3740 0.1260
0.5000 0.2082 0.0675
0.5000 0.7918 0.9325
0.5000 0.0675 0.7918
0.5000 0.7082 0.4325
0.5000 0.9325 0.2082
0.5000 0.2918 0.5675
0.5000 0.5675 0.7082
0.5000 0.4325 0.2918
0.5000 0.5000 0.0000
0.5000 0.0000 0.5000